(1)
Pm2Pd9Pt: optimized geometry, PBE.

Values from the calculation:
- Formation energy from the elements: -0.5144 eV/atom
- Calculated total energy: -5.704 eV/atom
- Mass density: 11.51 Mg/m³
- Calculated volume: 17.4 A^3/atom

Cell and atoms, written as POSCAR:
```
Pm2Pd9Pt
1.0
4.125 0.000 0.000
0.000 4.125 0.000
0.000 0.000 12.237
Pd Pm Pt
9 2 1
direct
0.500 0.000 0.845
0.000 0.500 0.155
0.500 0.500 0.000
0.500 0.000 0.500
0.000 0.500 0.500
0.500 0.000 0.155
0.500 0.500 0.327
0.000 0.500 0.845
0.500 0.500 0.673
0.000 0.000 0.327
0.000 0.000 0.673
0.000 0.000 0.000
```



(2)
Pm6Pd2Pt: optimized geometry, PBE.

Values from the calculation:
- Formation energy from the elements: -0.5915 eV/atom
- Calculated total energy: -5.584 eV/atom
- Mass density: 8.65 Mg/m³
- Calculated volume: 27.3 A^3/atom

Cell and atoms, written as POSCAR:
```
Pm6Pd2Pt
1.0
-5.927 2.080 5.887
-1.333 -7.936 -3.059
7.794 0.211 3.650
Pm Pd Pt
12 4 2
direct
0.702 0.034 0.333
0.183 0.746 0.929
0.298 0.631 0.333
0.817 0.254 0.071
0.817 0.746 0.562
0.905 0.735 0.171
0.436 0.265 0.171
0.183 0.254 0.438
0.702 0.369 0.667
0.095 0.265 0.829
0.564 0.735 0.829
0.298 0.966 0.667
0.658 0.000 0.658
0.500 0.368 0.868
0.342 0.000 0.342
0.500 0.632 0.132
0.000 0.000 0.000
0.000 0.500 0.500
```



(3)
Pm4Pd12Pt: optimized geometry, PBE.

Values from the calculation:
- Formation energy from the elements: -0.7389 eV/atom
- Calculated total energy: -5.878 eV/atom
- Mass density: 10.65 Mg/m³
- Calculated volume: 18.8 A^3/atom

Cell and atoms, written as POSCAR:
```
Pm4Pd12Pt
1.0
-0.830 6.413 3.723
-4.839 -0.225 -5.675
-1.292 -5.732 4.600
Pd Pm Pt
12 4 1
direct
0.698 0.000 0.698
0.000 0.302 0.302
0.302 0.302 0.000
0.500 0.750 0.250
0.750 0.250 0.500
0.000 0.698 0.698
0.500 0.250 0.750
0.698 0.698 0.000
0.302 0.000 0.302
0.250 0.750 0.500
0.250 0.500 0.750
0.750 0.500 0.250
0.000 0.500 0.000
0.000 0.000 0.500
0.500 0.500 0.500
0.500 0.000 0.000
0.000 0.000 0.000
```



(4)
Pm2Pd3Pt: optimized geometry, PBE.

Values from the calculation:
- Formation energy from the elements: -0.7743 eV/atom
- Calculated total energy: -5.961 eV/atom
- Mass density: 10.27 Mg/m³
- Calculated volume: 21.7 A^3/atom

Cell and atoms, written as POSCAR:
```
Pm2Pd3Pt
1.0
3.657 0.000 0.000
0.000 4.680 0.000
0.000 0.000 7.596
Pm Pd Pt
2 3 1
direct
0.000 0.000 0.495
0.000 0.500 0.007
0.500 0.000 0.170
0.500 0.500 0.674
0.500 0.000 0.824
0.500 0.500 0.330
```



(5)
Pm8PdPt2: optimized geometry, PBE.

Values from the calculation:
- Formation energy from the elements: -0.4689 eV/atom
- Calculated total energy: -5.494 eV/atom
- Mass density: 8.37 Mg/m³
- Calculated volume: 29.9 A^3/atom

Cell and atoms, written as POSCAR:
```
Pm8PdPt2
1.0
6.185 0.096 -1.017
-1.976 6.902 -2.890
-0.120 -0.108 7.737
Pm Pd Pt
8 1 2
direct
0.593 0.082 0.344
0.800 0.643 0.643
0.593 0.344 0.082
0.364 0.659 0.921
0.983 0.785 0.214
0.983 0.214 0.785
0.172 0.367 0.367
0.364 0.921 0.659
0.170 0.014 0.014
0.488 0.317 0.689
0.488 0.689 0.317
```



(6)
Pm6Pd2Pt: optimized geometry, PBE.

Values from the calculation:
- Formation energy from the elements: -0.5837 eV/atom
- Calculated total energy: -5.576 eV/atom
- Mass density: 8.04 Mg/m³
- Calculated volume: 29.3 A^3/atom

Cell and atoms, written as POSCAR:
```
Pm6Pd2Pt
1.0
-5.694 -2.713 2.341
1.410 -6.266 -3.834
5.742 -3.619 8.027
Pt Pm Pd
2 12 4
direct
0.500 0.500 0.000
0.000 0.000 0.500
0.660 0.187 0.571
0.827 0.670 0.574
0.160 0.044 0.758
0.660 0.456 0.258
0.173 0.330 0.426
0.673 0.170 0.926
0.340 0.544 0.742
0.160 0.313 0.071
0.340 0.813 0.429
0.840 0.687 0.929
0.840 0.956 0.242
0.327 0.830 0.074
0.938 0.383 0.768
0.062 0.617 0.232
0.562 0.883 0.732
0.438 0.117 0.268
```



Among the records above, which one has the highest calculated total energy? Pm8PdPt2



The highest calculated total energy belongs to which entry? Pm8PdPt2